LaRe2Ru | GGA-PBE | relaxed

a = 4.653 Å, b = 4.653 Å, c = 4.653 Å
α = 60.00°, β = 60.00°, γ = 60.00°
Atoms (fractional coordinates):
La 0.000 0.000 0.000
Re 0.500 0.500 0.500
Re 0.750 0.750 0.750
Ru 0.250 0.250 0.250

Computed properties:
For the magnetic moment, the calculation gives 0.000 μB/atom. The formation energy is 570.4 meV per atom. Its volume is 71.25 Å³/f.u. Its space group is F-43m (216). The value obtained for the energy above the most stable polymorph in this dataset is 310 meV per atom.